Entry from Alexandria via LeMat-Bulk: a geometry-optimized La5Sn2Bi2 structure (PBE).

The structure belongs to space group Cmce (No. 64); the cell edges are 16.433, 8.636 and 8.685 Å and the angles 90.00°, 90.00° and 90.00°. The inequivalent atoms are La at (0.000, 0.000, 0.000), La at (0.134, 0.172, 0.331), Sn at (0.000, 0.128, 0.629) and Bi at (0.205, 0.000, 0.000).

The uncorrected energy is -5.3884 eV per atom. The calculation puts the density of states at the Fermi level at 0.91 states/eV per atom. For the formation energy, the calculation gives -899.0 meV per atom.